Density functional theory data (PBE-GGA) for an optimized crystal structure of UNbPd14.

a b c (Å): 5.7239 5.7239 7.7975
angles (deg): 90.00 90.00 90.00
With the nearest neighbours (Å) after each atom.
Sites, in units of the cell vectors:
U 0.0000 0.0000 0.0000  12 Pd 2.79-2.86
Nb 0.5000 0.5000 0.0000  12 Pd 2.78-2.86
Pd 0.0000 0.0000 0.5000  12 Pd 2.84-2.86
Pd 0.0000 0.5000 0.0000  8 Pd 2.78, 2 Nb 2.86, 2 U 2.86
Pd 0.0000 0.5000 0.5000  12 Pd 2.84-2.86
Pd 0.2514 0.2514 0.2454  1 Nb 2.78, 10 Pd 2.78-2.88, 1 U 2.79
Pd 0.2514 0.2514 0.7546  1 Nb 2.78, 10 Pd 2.78-2.88, 1 U 2.79
Pd 0.2514 0.7486 0.2454  1 Nb 2.78, 10 Pd 2.78-2.88, 1 U 2.79
Pd 0.2514 0.7486 0.7546  1 Nb 2.78, 10 Pd 2.78-2.88, 1 U 2.79
Pd 0.5000 0.0000 0.0000  8 Pd 2.78, 2 Nb 2.86, 2 U 2.86
Pd 0.5000 0.0000 0.5000  12 Pd 2.84-2.86
Pd 0.5000 0.5000 0.5000  12 Pd 2.83-2.86
Pd 0.7486 0.2514 0.2454  1 Nb 2.78, 10 Pd 2.78-2.88, 1 U 2.79
Pd 0.7486 0.2514 0.7546  1 Nb 2.78, 10 Pd 2.78-2.88, 1 U 2.79
Pd 0.7486 0.7486 0.2454  1 Nb 2.78, 10 Pd 2.78-2.88, 1 U 2.79
Pd 0.7486 0.7486 0.7546  1 Nb 2.78, 10 Pd 2.78-2.88, 1 U 2.79

Values from the calculation:
Calculated formation energy, eV/atom: -0.31
Uncorrected energy, eV/cell: -99.0



Density functional theory data (PBE-GGA) for an optimized crystal structure of UNbPd.

a b c (Å): 3.7183 3.7183 8.4532
angles (deg): 90.00 90.00 90.00
With the nearest neighbours (Å) after each atom.
Sites, in units of the cell vectors:
U 0.0000 0.0000 0.0000  1 Nb 2.50
U 0.5000 0.5000 0.5000  1 Nb 2.50
Nb 0.0000 0.0000 0.2960  1 U 2.50
Nb 0.5000 0.5000 0.7960  1 U 2.50
Pd 0.0000 0.0000 0.6551  5 Nb 2.89-3.04, 5 U 2.92-2.94
Pd 0.5000 0.5000 0.1551  5 Nb 2.89-3.04, 5 U 2.92-2.94

Values from the calculation:
Calculated formation energy, eV/atom: 0.11
Uncorrected energy, eV/cell: -52.4
Energy above the most stable polymorph in this dataset, kJ per mole of atoms: 21.07



Density functional theory data (PBE-GGA) for an optimized crystal structure of Nb2VPd9.

a b c (Å): 3.9632 3.9632 11.8798
angles (deg): 90.00 90.00 90.00
With the nearest neighbours (Å) after each atom.
Sites, in units of the cell vectors:
Nb 0.0000 0.0000 0.1728  12 Pd 2.74-2.85
Nb 0.0000 0.0000 0.8272  12 Pd 2.74-2.85
V 0.0000 0.0000 0.5000  12 Pd 2.80-2.81
Pd 0.0000 0.5000 0.0000  8 Pd 2.79-2.80, 4 Nb 2.85
Pd 0.0000 0.5000 0.3322  2 Nb 2.74, 8 Pd 2.80-2.81, 2 V 2.81
Pd 0.0000 0.5000 0.6678  2 Nb 2.74, 8 Pd 2.80-2.81, 2 V 2.81
Pd 0.5000 0.0000 0.0000  8 Pd 2.79-2.80, 4 Nb 2.85
Pd 0.5000 0.0000 0.3322  2 Nb 2.74, 8 Pd 2.80-2.81, 2 V 2.81
Pd 0.5000 0.0000 0.6678  2 Nb 2.74, 8 Pd 2.80-2.81, 2 V 2.81
Pd 0.5000 0.5000 0.1653  8 Pd 2.79-2.80, 4 Nb 2.80
Pd 0.5000 0.5000 0.5000  4 V 2.80, 8 Pd 2.81
Pd 0.5000 0.5000 0.8347  8 Pd 2.79-2.80, 4 Nb 2.80

Values from the calculation:
Calculated formation energy, eV/atom: -0.30
Uncorrected energy, eV/cell: -79.6



Density functional theory data (PBE-GGA) for an optimized crystal structure of Nb2V2Pd.

a b c (Å): 6.7034 6.7034 3.6145
angles (deg): 90.00 90.00 90.00
With the nearest neighbours (Å) after each atom.
Sites, in units of the cell vectors:
Nb 0.1747 0.3253 0.0000  6 V 2.63-2.72
Nb 0.3253 0.8253 0.0000  6 V 2.63-2.72
Nb 0.6747 0.1747 0.0000  6 V 2.63-2.72
Nb 0.8253 0.6747 0.0000  6 V 2.63-2.72
V 0.1245 0.6245 0.5000  1 V 2.36, 2 Nb 2.63
V 0.3755 0.1245 0.5000  1 V 2.36, 2 Nb 2.63
V 0.6245 0.8755 0.5000  1 V 2.36, 2 Nb 2.63
V 0.8755 0.3755 0.5000  1 V 2.36, 2 Nb 2.63
Pd 0.0000 0.0000 0.5000  4 V 2.65
Pd 0.5000 0.5000 0.5000  4 V 2.65

Values from the calculation:
Calculated formation energy, eV/atom: 0.11
Uncorrected energy, eV/cell: -86.0



Density functional theory data (PBE-GGA) for an optimized crystal structure of NbVPd.

a b c (Å): 2.7574 5.4498 6.6414
angles (deg): 97.78 100.92 102.59
With the nearest neighbours (Å) after each atom.
Sites, in units of the cell vectors:
Nb 0.1800 0.0899 0.3227  3 V 2.70-2.77, 3 Nb 2.76-2.93, 4 Pd 2.79-2.92
Nb 0.8200 0.9101 0.6773  3 V 2.70-2.77, 3 Nb 2.76-2.93, 4 Pd 2.79-2.92
V 0.1386 0.5825 0.3473  3 V 2.51-2.76, 2 Pd 2.68-2.74, 3 Nb 2.70-2.77
V 0.8614 0.4175 0.6527  3 V 2.51-2.76, 2 Pd 2.68-2.74, 3 Nb 2.70-2.77
Pd 0.4335 0.7370 0.0126  4 Pd 2.67-2.84, 2 V 2.68-2.74, 4 Nb 2.79-2.92
Pd 0.5665 0.2630 0.9874  4 Pd 2.67-2.84, 2 V 2.68-2.74, 4 Nb 2.79-2.92

Values from the calculation:
Calculated formation energy, eV/atom: -0.17
Uncorrected energy, eV/cell: -49.8
Energy above the most stable polymorph in this dataset, kJ per mole of atoms: 0.00



Density functional theory data (PBE-GGA) for an optimized crystal structure of Nb2VPd.

a b c (Å): 3.1862 3.1862 6.4678
angles (deg): 90.00 90.00 90.00
With the nearest neighbours (Å) after each atom.
Sites, in units of the cell vectors:
Nb 0.0000 0.0000 0.2290  4 V 2.70, 4 Pd 2.85, 1 Nb 2.96
Nb 0.0000 0.0000 0.7710  4 V 2.70, 4 Pd 2.85, 1 Nb 2.96
V 0.5000 0.5000 0.0000  8 Nb 2.70
Pd 0.5000 0.5000 0.5000  8 Nb 2.85, 4 Pd 3.19

Values from the calculation:
Calculated formation energy, eV/atom: -0.12
Uncorrected energy, eV/cell: -34.9
Energy above the most stable polymorph in this dataset, kJ per mole of atoms: 0.00